# 1
First-principles (PBE) data for a relaxed structure of Pa2Bi3, as listed in Alexandria via LeMat-Bulk.

CIF file:
```
data_Pa2Bi3
_cell_length_a 4.3408
_cell_length_b 4.3408
_cell_length_c 8.8314
_cell_angle_alpha 90.00
_cell_angle_beta 90.00
_cell_angle_gamma 90.00
_space_group_name_H-M_alt 'P 1'
_space_group_IT_number 1
_space_group_name_Hall 'P 1'
loop_
_atom_site_label
_atom_site_type_symbol
_atom_site_fract_x
_atom_site_fract_y
_atom_site_fract_z
Bi1 Bi 0.0000 0.5000 0.8605
Bi2 Bi 0.5000 0.0000 0.1395
Bi3 Bi 0.5000 0.5000 0.5000
Pa1 Pa 0.5000 0.0000 0.7671
Pa2 Pa 0.0000 0.5000 0.2329
```

Output
As for the calculated total energy: -30.6 eV/cell. As for the calculated formation energy: 9 meV per atom. As for the total magnetic moment: 0.7 μB per formula unit.



# 2
First-principles (PBE) data for a relaxed structure of Pa3Bi, as listed in Alexandria via LeMat-Bulk.

CIF file:
```
data_Pa3Bi
_cell_length_a 5.2940
_cell_length_b 5.2940
_cell_length_c 5.2940
_cell_angle_alpha 60.00
_cell_angle_beta 60.00
_cell_angle_gamma 60.00
_space_group_name_H-M_alt 'P 1'
_space_group_IT_number 1
_space_group_name_Hall 'P 1'
loop_
_atom_site_label
_atom_site_type_symbol
_atom_site_fract_x
_atom_site_fract_y
_atom_site_fract_z
Pa1 Pa 0.2500 0.2500 0.2500
Pa2 Pa 0.7500 0.7500 0.7500
Pa3 Pa 0.0000 0.0000 0.0000
Bi1 Bi 0.5000 0.5000 0.5000
```

Output
As for the calculated total energy: -31.6 eV/cell. As for the calculated formation energy: 200 meV per atom. As for the total magnetic moment: 0.9 μB per formula unit.



# 3
First-principles (PBE) data for a relaxed structure of PaBi5, as listed in Alexandria via LeMat-Bulk.

CIF file:
```
data_PaBi5
_cell_length_a 4.8710
_cell_length_b 4.4713
_cell_length_c 8.8181
_cell_angle_alpha 104.69
_cell_angle_beta 90.00
_cell_angle_gamma 90.00
_space_group_name_H-M_alt 'P 1'
_space_group_IT_number 1
_space_group_name_Hall 'P 1'
loop_
_atom_site_label
_atom_site_type_symbol
_atom_site_fract_x
_atom_site_fract_y
_atom_site_fract_z
Bi1 Bi 0.5000 0.1565 0.3129
Bi2 Bi 0.5000 0.8435 0.6871
Bi3 Bi 0.0000 0.6525 0.3050
Bi4 Bi 0.0000 0.3475 0.6950
Bi5 Bi 0.5000 0.5000 0.0000
Pa1 Pa 0.0000 0.0000 0.0000
```

Output
As for the calculated total energy: -29.3 eV/cell. As for the calculated formation energy: -73 meV per atom. As for the total magnetic moment: 0.0 μB per formula unit.



The highest total magnetic moment belongs to which entry?
Pa3Bi



calculated formation energy of number 3 (PaBi5)?
-73 meV per atom



What is the calculated total energy in the second record?
-31.6 eV/cell